Entry 1:
DFT (GGA-PBE) results for crystalline Tb2MgS4 at its relaxed geometry.

Lattice parameters (Å, degrees): 7.211 7.211 7.211 110.58 110.58 107.28
Fractional coordinates of all 14 atoms:
Tb (0.875, 0.760, 0.385)
Tb (0.510, 0.125, 0.885)
Tb (0.375, 0.490, 0.615)
Tb (0.240, 0.625, 0.115)
Mg (0.000, 0.000, 0.000)
Mg (0.750, 0.250, 0.500)
S (0.509, 0.379, 0.264)
S (0.755, 0.491, 0.870)
S (0.115, 0.245, 0.736)
S (0.621, 0.885, 0.130)
S (0.241, 0.005, 0.370)
S (0.995, 0.365, 0.236)
S (0.635, 0.871, 0.630)
S (0.129, 0.759, 0.764)

Computed properties:
Formation energy without anion corrections, kJ/mol of formula units: -1230
Total moment, μB/f.u.: 0.00
Space-group type: No. 122
Energy above the lowest structure with this stoichiometry, kJ per mole of atoms: 5.81

Entry 2:
DFT (GGA-PBE) results for crystalline Tb3MgS at its relaxed geometry.

Lattice parameters (Å, degrees): 5.254 5.254 5.254 90.00 90.00 90.00
Fractional coordinates of all 5 atoms:
S (0.000, 0.000, 0.000)
Tb (0.000, 0.500, 0.000)
Tb (0.000, 0.000, 0.500)
Tb (0.500, 0.000, 0.000)
Mg (0.500, 0.500, 0.500)

Computed properties:
Formation energy without anion corrections, kJ/mol of formula units: -344
Total moment, μB/f.u.: 0.00
Space-group type: No. 221

Entry 3:
DFT (GGA-PBE) results for crystalline Tb2MgS4 at its relaxed geometry.

Lattice parameters (Å, degrees): 6.557 7.948 13.554 90.00 90.00 90.00
Fractional coordinates of all 28 atoms:
Tb (0.500, 0.000, 0.000)
Tb (0.000, 0.000, 0.500)
Tb (0.000, 0.500, 0.500)
Tb (0.500, 0.500, 0.000)
Tb (0.992, 0.750, 0.231)
Tb (0.008, 0.250, 0.769)
Tb (0.492, 0.250, 0.269)
Tb (0.508, 0.750, 0.731)
Mg (0.920, 0.250, 0.096)
Mg (0.080, 0.750, 0.904)
Mg (0.420, 0.750, 0.404)
Mg (0.580, 0.250, 0.596)
S (0.737, 0.011, 0.170)
S (0.263, 0.989, 0.830)
S (0.237, 0.989, 0.330)
S (0.763, 0.011, 0.670)
S (0.763, 0.489, 0.670)
S (0.237, 0.511, 0.330)
S (0.263, 0.511, 0.830)
S (0.737, 0.489, 0.170)
S (0.244, 0.750, 0.069)
S (0.756, 0.250, 0.931)
S (0.744, 0.250, 0.431)
S (0.256, 0.750, 0.569)
S (0.286, 0.250, 0.091)
S (0.714, 0.750, 0.909)
S (0.786, 0.750, 0.409)
S (0.214, 0.250, 0.591)

Computed properties:
Formation energy without anion corrections, kJ/mol of formula units: -1266
Total moment, μB/f.u.: 0.00
Space-group type: No. 62
Energy above the lowest structure with this stoichiometry, kJ per mole of atoms: 0.75

Entry 4:
DFT (GGA-PBE) results for crystalline Tb3MgS4 at its relaxed geometry.

Lattice parameters (Å, degrees): 5.504 5.504 6.737 114.12 114.12 90.00
Fractional coordinates of all 8 atoms:
Mg (0.000, 0.000, 0.000)
Tb (0.500, 0.500, 0.000)
Tb (0.750, 0.250, 0.500)
Tb (0.250, 0.750, 0.500)
S (0.000, 0.500, 0.000)
S (0.500, 0.000, 0.000)
S (0.236, 0.236, 0.471)
S (0.764, 0.764, 0.529)

Computed properties:
Formation energy without anion corrections, kJ/mol of formula units: -1399
Total moment, μB/f.u.: 0.00
Space-group type: No. 139

Entry 5:
DFT (GGA-PBE) results for crystalline Tb2MgS4 at its relaxed geometry.

Lattice parameters (Å, degrees): 7.933 7.933 7.933 60.00 60.00 60.00
Fractional coordinates of all 14 atoms:
Tb (0.125, 0.625, 0.125)
Tb (0.125, 0.125, 0.625)
Tb (0.625, 0.125, 0.125)
Tb (0.125, 0.125, 0.125)
Mg (0.500, 0.500, 0.500)
Mg (0.750, 0.750, 0.750)
S (0.879, 0.879, 0.879)
S (0.362, 0.879, 0.879)
S (0.879, 0.362, 0.879)
S (0.879, 0.879, 0.362)
S (0.371, 0.371, 0.888)
S (0.371, 0.888, 0.371)
S (0.888, 0.371, 0.371)
S (0.371, 0.371, 0.371)

Computed properties:
Formation energy without anion corrections, kJ/mol of formula units: -1271
Total moment, μB/f.u.: 0.00
Space-group type: No. 227
Energy above the lowest structure with this stoichiometry, kJ per mole of atoms: 0.00

Entry 6:
DFT (GGA-PBE) results for crystalline TbMgS2 at its relaxed geometry.

Lattice parameters (Å, degrees): 3.753 3.753 6.827 74.05 74.05 60.00
Fractional coordinates of all 4 atoms:
Tb (0.500, 0.500, 0.500)
Mg (0.000, 0.000, 0.000)
S (0.258, 0.258, 0.227)
S (0.742, 0.742, 0.773)

Computed properties:
Formation energy without anion corrections, kJ/mol of formula units: -626
Total moment, μB/f.u.: 0.00
Space-group type: No. 166

Entry 7:
DFT (GGA-PBE) results for crystalline TbMgS2 at its relaxed geometry.

Lattice parameters (Å, degrees): 3.740 3.740 6.965 74.42 74.42 60.00
Fractional coordinates of all 4 atoms:
Tb (0.500, 0.500, 0.501)
Mg (0.668, 0.668, 0.995)
S (0.074, 0.074, 0.777)
S (0.257, 0.257, 0.228)

Computed properties:
Formation energy without anion corrections, kJ/mol of formula units: -626
Total moment, μB/f.u.: 0.85
Space-group type: No. 160

Entry 8:
DFT (GGA-PBE) results for crystalline Tb2MgS4 at its relaxed geometry.

Lattice parameters (Å, degrees): 3.871 12.672 13.534 90.00 90.00 90.00
Fractional coordinates of all 28 atoms:
Tb (0.250, 0.119, 0.075)
Tb (0.750, 0.881, 0.925)
Tb (0.750, 0.381, 0.575)
Tb (0.250, 0.619, 0.425)
Tb (0.250, 0.136, 0.706)
Tb (0.750, 0.864, 0.294)
Tb (0.750, 0.364, 0.206)
Tb (0.250, 0.636, 0.794)
Mg (0.750, 0.110, 0.456)
Mg (0.250, 0.890, 0.544)
Mg (0.250, 0.390, 0.956)
Mg (0.750, 0.610, 0.044)
S (0.750, 0.006, 0.616)
S (0.250, 0.994, 0.384)
S (0.250, 0.494, 0.116)
S (0.750, 0.506, 0.884)
S (0.250, 0.027, 0.884)
S (0.750, 0.973, 0.116)
S (0.750, 0.473, 0.384)
S (0.250, 0.527, 0.616)
S (0.250, 0.228, 0.247)
S (0.750, 0.772, 0.753)
S (0.750, 0.272, 0.747)
S (0.250, 0.728, 0.253)
S (0.750, 0.264, 0.016)
S (0.250, 0.736, 0.984)
S (0.250, 0.236, 0.516)
S (0.750, 0.764, 0.484)

Computed properties:
Formation energy without anion corrections, kJ/mol of formula units: -1234
Total moment, μB/f.u.: 0.00
Space-group type: No. 62
Energy above the lowest structure with this stoichiometry, kJ per mole of atoms: 5.33

Entry 9:
DFT (GGA-PBE) results for crystalline Tb6MgS8 at its relaxed geometry.

Lattice parameters (Å, degrees): 7.814 7.814 7.814 60.00 60.00 60.00
Fractional coordinates of all 15 atoms:
Tb (0.000, 0.500, 0.500)
Tb (0.500, 0.000, 0.000)
Tb (0.500, 0.500, 0.000)
Tb (0.000, 0.000, 0.500)
Tb (0.000, 0.500, 0.000)
Tb (0.500, 0.000, 0.500)
Mg (0.000, 0.000, 0.000)
S (0.750, 0.750, 0.750)
S (0.250, 0.250, 0.250)
S (0.760, 0.240, 0.240)
S (0.240, 0.760, 0.760)
S (0.240, 0.240, 0.760)
S (0.760, 0.760, 0.240)
S (0.760, 0.240, 0.760)
S (0.240, 0.760, 0.240)

Computed properties:
Formation energy without anion corrections, kJ/mol of formula units: -2871
Total moment, μB/f.u.: 0.00
Space-group type: No. 225

Entry 10:
DFT (GGA-PBE) results for crystalline Tb2MgS4 at its relaxed geometry.

Lattice parameters (Å, degrees): 7.368 8.795 11.782 99.91 96.44 92.07
Fractional coordinates of all 28 atoms:
Tb (0.863, 0.295, 0.654)
Tb (0.137, 0.705, 0.346)
Tb (0.750, 0.123, 0.995)
Tb (0.250, 0.877, 0.005)
Tb (0.628, 0.442, 0.327)
Tb (0.372, 0.558, 0.673)
Tb (0.642, 0.977, 0.357)
Tb (0.358, 0.023, 0.643)
Mg (0.863, 0.793, 0.691)
Mg (0.137, 0.207, 0.309)
Mg (0.761, 0.591, 0.986)
Mg (0.239, 0.409, 0.014)
S (0.901, 0.351, 0.881)
S (0.099, 0.649, 0.119)
S (0.886, 0.835, 0.898)
S (0.114, 0.165, 0.102)
S (0.849, 0.236, 0.401)
S (0.151, 0.764, 0.599)
S (0.788, 0.714, 0.359)
S (0.212, 0.286, 0.641)
S (0.708, 0.007, 0.607)
S (0.292, 0.993, 0.393)
S (0.698, 0.543, 0.604)
S (0.302, 0.457, 0.396)
S (0.586, 0.956, 0.134)
S (0.414, 0.044, 0.866)
S (0.593, 0.396, 0.101)
S (0.407, 0.604, 0.899)

Computed properties:
Formation energy without anion corrections, kJ/mol of formula units: -1160
Total moment, μB/f.u.: 0.00
Space-group type: No. 2
Energy above the lowest structure with this stoichiometry, kJ per mole of atoms: 15.87

Entry 11:
DFT (GGA-PBE) results for crystalline TbTm4MgS8 at its relaxed geometry.

Lattice parameters (Å, degrees): 7.893 7.893 7.908 60.06 60.06 60.00
Fractional coordinates of all 14 atoms:
Tb (0.002, 0.002, 0.993)
Tm (0.625, 0.625, 0.124)
Tm (0.003, 0.492, 0.503)
Tm (0.492, 0.003, 0.503)
Tm (0.003, 0.003, 0.503)
Mg (0.375, 0.375, 0.874)
S (0.248, 0.763, 0.741)
S (0.763, 0.248, 0.741)
S (0.248, 0.248, 0.741)
S (0.245, 0.245, 0.264)
S (0.755, 0.227, 0.263)
S (0.227, 0.755, 0.263)
S (0.755, 0.755, 0.263)
S (0.759, 0.759, 0.724)

Computed properties:
Formation energy without anion corrections, kJ/mol of formula units: -2589
Total moment, μB/f.u.: 0.00
Space-group type: No. 160

Entry 12:
DFT (GGA-PBE) results for crystalline TbTmMgS4 at its relaxed geometry.

Lattice parameters (Å, degrees): 7.854 7.876 7.876 60.17 60.09 60.09
Fractional coordinates of all 14 atoms:
Tb (0.000, 0.000, 0.000)
Tb (0.000, 0.500, 0.500)
Tm (0.500, 0.000, 0.500)
Tm (0.000, 0.000, 0.500)
Mg (0.625, 0.625, 0.125)
Mg (0.375, 0.375, 0.875)
S (0.753, 0.760, 0.735)
S (0.247, 0.765, 0.740)
S (0.753, 0.235, 0.260)
S (0.247, 0.240, 0.265)
S (0.236, 0.757, 0.257)
S (0.750, 0.757, 0.257)
S (0.250, 0.243, 0.743)
S (0.764, 0.243, 0.743)

Computed properties:
Formation energy without anion corrections, kJ/mol of formula units: -1277
Total moment, μB/f.u.: 0.00
Space-group type: No. 74

Question: Among the records above, which one has the lowest formation energy without anion corrections?
Answer: Tb6MgS8